1.
The following is a PBE calculation of a geometry-optimized Li2SbN structure, from Alexandria.

The structure in POSCAR format:
```
Li2SbN
1.0
0.000 3.072 3.072
3.072 0.000 3.072
3.072 3.072 0.000
Li Sb N
2 1 1
Direct
0.250 0.250 0.250
0.750 0.750 0.750
0.000 0.000 0.000
0.500 0.500 0.500
```

Results
Crystal system: cubic
Space-group type: Fm-3m
DOS at the Fermi energy: 1.69 states/eV per cell



2.
The following is a PBE calculation of a geometry-optimized Li2SbN structure, from Alexandria.

The structure in POSCAR format:
```
Li2SbN
1.0
-3.608 3.608 2.298
3.608 -3.608 2.298
3.608 3.608 -2.298
Li Sb N
4 2 2
Direct
0.004 0.625 0.879
0.375 0.254 0.379
0.746 0.125 0.121
0.875 0.996 0.621
0.250 0.750 0.500
0.500 0.500 0.000
0.000 0.000 0.000
0.750 0.250 0.500
```

Results
Crystal system: tetragonal
Space-group type: I-42d
DOS at the Fermi energy: 2.79 states/eV per cell



Least stable of them? 1.



1.
The following is a PBE calculation of a geometry-optimized Li3SbN structure, from Alexandria.

The structure in POSCAR format:
```
Li3SbN
1.0
4.096 0.000 0.000
0.000 4.096 0.000
0.000 0.000 4.096
Li Sb N
3 1 1
Direct
0.000 0.000 0.500
0.000 0.500 0.000
0.500 0.000 0.000
0.500 0.500 0.500
0.000 0.000 0.000
```

Results
Crystal system: cubic
Space-group type: Pm-3m
DOS at the Fermi energy: 2.48 states/eV per cell



2.
The following is a PBE calculation of a geometry-optimized Li3SbN structure, from Alexandria.

The structure in POSCAR format:
```
Li3SbN
1.0
5.248 0.000 0.000
0.000 5.248 0.000
0.000 0.000 5.248
Li Sb N
3 1 1
Direct
0.000 0.000 0.500
0.000 0.500 0.000
0.500 0.000 0.000
0.000 0.000 0.000
0.500 0.500 0.500
```

Results
Crystal system: cubic
Space-group type: Pm-3m
DOS at the Fermi energy: 0.00 states/eV per cell



Least stable of them? 2.



1.
The following is a PBE calculation of a geometry-optimized LiSbSe2N structure, from Alexandria.

The structure in POSCAR format:
```
LiSbSe2N
1.0
4.970 0.000 0.000
0.000 4.970 0.000
0.000 0.000 3.816
Li Sb Se N
1 1 2 1
Direct
0.000 0.000 0.000
0.500 0.500 0.500
0.000 0.500 0.000
0.500 0.000 0.000
0.000 0.000 0.500
```

Results
Crystal system: tetragonal
Space-group type: P4/mmm
DOS at the Fermi energy: 4.77 states/eV per cell



2.
The following is a PBE calculation of a geometry-optimized LiSbSe2N structure, from Alexandria.

The structure in POSCAR format:
```
LiSbSe2N
1.0
5.394 0.000 0.000
0.000 5.394 0.000
0.000 0.000 4.078
Li Sb Se N
1 1 2 1
Direct
0.000 0.000 0.000
0.500 0.500 0.500
0.000 0.500 0.500
0.500 0.000 0.500
0.500 0.500 0.000
```

Results
Crystal system: tetragonal
Space-group type: P4/mmm
DOS at the Fermi energy: 3.41 states/eV per cell



Least stable of them? 1.